The following is a PBE+U calculation of K2NpV3O12 after structural relaxation, from Alexandria via LeMat-Bulk.

```
K2NpV3O12
1.0
3.533 2.040 6.175
-3.533 2.040 6.175
0.000 -4.079 6.175
K Np V O
2 1 3 12
direct
0.107 0.107 0.107 K
0.893 0.893 0.893 K
0.500 0.500 0.500 Np
0.000 0.500 0.500 V
0.500 0.000 0.500 V
0.500 0.500 0.000 V
0.168 0.571 0.571 O
0.195 0.195 0.568 O
0.195 0.568 0.195 O
0.429 0.429 0.832 O
0.429 0.832 0.429 O
0.432 0.805 0.805 O
0.568 0.195 0.195 O
0.571 0.168 0.571 O
0.571 0.571 0.168 O
0.805 0.432 0.805 O
0.805 0.805 0.432 O
0.832 0.429 0.429 O
```

Calculated values
calculated volume: 267 Å³/cell
raw total energy: -7.3886 eV per atom
space-group type: R-3m